VGeAs3 after structural relaxation, computed with PBE.

Calculated values
As for the formation enthalpy at 0 K: 0.98 eV/atom. As for the relative energy among the computed polymorphs: 617 meV/atom.

Cell lengths 4.876, 4.876, 4.876 Å; angles 90.00, 90.00, 90.00 degrees
Each line ends with the local moment (μB).
Fractional coordinates of all 5 atoms:
As1 0.000 0.000 0.500  -0.05
As2 0.000 0.500 0.000  -0.05
As3 0.500 0.000 0.000  -0.05
V1 0.500 0.500 0.500  2.83
Ge1 0.000 0.000 0.000  0.01